<i>
A geometry-optimized FeNiSb2 structure. Source: Alexandria via LeMat-Bulk, functional GGA-PBE.

It has space group R-3m (No. 166, hexagonal axes), with a = 3.3081 Å, b = 3.3081 Å, c = 22.4667 Å, α = 90.00°, β = 90.00° and γ = 120.00°. The inequivalent atoms are Fe at (0.0000, 0.0000, 0.0000), Ni at (0.0000, 0.0000, 0.5000) and Sb at (0.0000, 0.0000, 0.2492).

As for the crystal system: trigonal.

<ii>
A geometry-optimized FeNiSb2 structure. Source: Alexandria via LeMat-Bulk, functional GGA-PBE.

It has space group Imm2 (No. 44), with a = 3.149 Å, b = 3.583 Å, c = 12.694 Å, α = 90.00°, β = 90.00° and γ = 90.00°. The inequivalent atoms are Fe at (0.000, 0.000, 0.000), Ni at (0.000, 0.500, 0.735), Sb at (0.000, 0.000, 0.583) and Sb at (0.000, 0.500, 0.334).

As for the crystal system: orthorhombic.

<iii>
A geometry-optimized FeNiSb2 structure. Source: Alexandria via LeMat-Bulk, functional GGA-PBE.

It has space group I-4m2 (No. 119), with a = 3.832 Å, b = 3.832 Å, c = 9.776 Å, α = 90.00°, β = 90.00° and γ = 90.00°. The inequivalent atoms are Fe at (0.000, 0.000, 0.000), Ni at (0.000, 0.500, 0.750), Sb at (0.000, 0.000, 0.500) and Sb at (0.000, 0.500, 0.250).

As for the crystal system: tetragonal.

<iv>
A geometry-optimized FeNiSb2 structure. Source: Alexandria via LeMat-Bulk, functional GGA-PBE.

It has space group C2/m (No. 12), with a = 7.861 Å, b = 3.321 Å, c = 5.639 Å, α = 90.00°, β = 104.41° and γ = 90.00°. The inequivalent atoms are Fe at (0.000, 0.000, 0.000), Ni at (0.000, 0.500, 0.500) and Sb at (0.250, 0.000, 0.752).

As for the crystal system: monoclinic.

Least stable of them? <iii>.

<i>
A geometry-optimized FeNiSb2 structure. Source: Alexandria via LeMat-Bulk, functional GGA-PBE.

It has space group I-42d (No. 122), with a = 6.290 Å, b = 6.290 Å, c = 9.378 Å, α = 90.00°, β = 90.00° and γ = 90.00°. The inequivalent atoms are Fe at (0.000, 0.000, 0.000), Ni at (0.000, 0.000, 0.500) and Sb at (0.241, 0.250, 0.625).

As for the crystal system: tetragonal.

<ii>
A geometry-optimized FeNiSb2 structure. Source: Alexandria via LeMat-Bulk, functional GGA-PBE.

It has space group P4mm (No. 99), with a = 3.656 Å, b = 3.656 Å, c = 5.277 Å, α = 90.00°, β = 90.00° and γ = 90.00°. The inequivalent atoms are Fe at (0.000, 0.000, 0.000), Ni at (0.500, 0.500, 0.355), Sb at (0.000, 0.000, 0.481) and Sb at (0.500, 0.500, 0.863).

As for the crystal system: tetragonal.

<iii>
A geometry-optimized FeNiSb2 structure. Source: Alexandria via LeMat-Bulk, functional GGA-PBE.

It has space group F-43m (No. 216), with a = 6.742 Å, b = 6.742 Å, c = 6.742 Å, α = 90.00°, β = 90.00° and γ = 90.00°. The inequivalent atoms are Fe at (0.000, 0.000, 0.000), Ni at (0.250, 0.250, 0.750), Sb at (0.000, 0.000, 0.500) and Sb at (0.250, 0.250, 0.250).

As for the crystal system: cubic.

Least stable of them? <iii>.

<i>
A geometry-optimized FeNiSb2Te structure. Source: Alexandria via LeMat-Bulk, functional GGA-PBE.

It has space group P4/mmm (No. 123), with a = 4.893 Å, b = 4.893 Å, c = 5.183 Å, α = 90.00°, β = 90.00° and γ = 90.00°. The inequivalent atoms are Fe at (0.000, 0.000, 0.000), Ni at (0.500, 0.500, 0.500), Sb at (0.000, 0.500, 0.500) and Te at (0.500, 0.500, 0.000).

As for the crystal system: tetragonal.

<ii>
A geometry-optimized FeNiSb2Te structure. Source: Alexandria via LeMat-Bulk, functional GGA-PBE.

It has space group P4/mmm (No. 123), with a = 4.772 Å, b = 4.772 Å, c = 5.194 Å, α = 90.00°, β = 90.00° and γ = 90.00°. The inequivalent atoms are Fe at (0.000, 0.000, 0.000), Ni at (0.500, 0.500, 0.500), Sb at (0.000, 0.500, 0.000) and Te at (0.000, 0.000, 0.500).

As for the crystal system: tetragonal.

Least stable of them? <ii>.